Entry 1:
# CeGe3Ru3, relaxed, DFT GGA-PBE
data_CeGe3Ru3
_symmetry_space_group_name_H-M 'P 1'
_symmetry_Int_Tables_number 1
_cell_length_a 6.699
_cell_length_b 6.699
_cell_length_c 6.699
_cell_angle_alpha 90.00
_cell_angle_beta 90.00
_cell_angle_gamma 90.00
loop_
_symmetry_equiv_pos_as_xyz
'x,y,z'
loop_
_atom_site_label
_atom_site_fract_x
_atom_site_fract_y
_atom_site_fract_z
Ru1 0.000 0.500 0.750
Ge1 0.750 0.500 0.000
Ge2 0.500 0.000 0.250
Ru2 0.250 0.000 0.500
Ge3 0.000 0.250 0.500
Ge4 0.250 0.500 0.000
Ru3 0.750 0.000 0.500
Ge5 0.000 0.750 0.500
Ru4 0.000 0.500 0.250
Ge6 0.500 0.000 0.750
Ru5 0.500 0.750 0.000
Ce1 0.500 0.500 0.500
Ce2 0.000 0.000 0.000
Ru6 0.500 0.250 0.000
# uncorrected energy	-6.76	eV per atom
# calculated density	7.30	g/cm³
# DOS at the Fermi energy	9.35	states/eV/f.u.
# crystal system	cubic
# total magnetization	1.17	μB per formula unit



Entry 2:
# U2Si3Ni, relaxed, DFT GGA-PBE
data_U2Si3Ni
_symmetry_space_group_name_H-M 'P 1'
_symmetry_Int_Tables_number 1
_cell_length_a 5.583
_cell_length_b 5.583
_cell_length_c 7.916
_cell_angle_alpha 110.22
_cell_angle_beta 110.22
_cell_angle_gamma 91.14
loop_
_symmetry_equiv_pos_as_xyz
'x,y,z'
loop_
_atom_site_label
_atom_site_fract_x
_atom_site_fract_y
_atom_site_fract_z
Si1 0.170 0.660 0.831
Si2 0.340 0.830 0.169
U1 0.247 0.247 0.000
U2 0.750 0.250 0.500
U3 0.753 0.753 0.000
U4 0.250 0.750 0.500
Ni1 0.333 0.333 0.667
Ni2 0.667 0.667 0.333
Si3 0.831 0.831 0.661
Si4 0.169 0.169 0.339
Si5 0.660 0.170 0.831
Si6 0.830 0.340 0.169
# uncorrected energy	-7.85	eV per atom
# calculated density	9.58	g/cm³
# DOS at the Fermi energy	11.93	states/eV/f.u.
# crystal system	orthorhombic
# E_form (uncorrected)	-0.415	eV/atom
# total magnetization	4.59	μB per formula unit



Entry 3:
# LaTbY6Er2, relaxed, DFT GGA-PBE
data_LaTbY6Er2
_symmetry_space_group_name_H-M 'P 1'
_symmetry_Int_Tables_number 1
_cell_length_a 9.484
_cell_length_b 8.835
_cell_length_c 8.835
_cell_angle_alpha 116.71
_cell_angle_beta 92.93
_cell_angle_gamma 92.93
loop_
_symmetry_equiv_pos_as_xyz
'x,y,z'
loop_
_atom_site_label
_atom_site_fract_x
_atom_site_fract_y
_atom_site_fract_z
Er1 0.553 0.200 0.303
Y1 0.058 0.119 0.757
Y2 0.819 0.444 0.990
Er2 0.447 0.800 0.697
Y3 0.388 0.518 0.293
Er3 0.053 0.303 0.200
La1 0.250 0.966 0.034
Y4 0.319 0.990 0.444
Tb1 0.750 0.588 0.412
La2 0.750 0.034 0.966
Y5 0.442 0.243 0.881
Y6 0.942 0.881 0.243
Y7 0.612 0.482 0.707
Y8 0.181 0.556 0.010
Tb2 0.250 0.412 0.588
Y9 0.112 0.707 0.482
Y10 0.888 0.293 0.518
Y11 0.558 0.757 0.119
Y12 0.681 0.010 0.556
Er4 0.947 0.697 0.800
# uncorrected energy	-5.63	eV per atom
# calculated density	5.88	g/cm³
# DOS at the Fermi energy	16.12	states/eV/f.u.
# crystal system	monoclinic
# total magnetization	0.00	μB per formula unit



Entry 4:
# Dy2Y2Ga4Pt, relaxed, DFT GGA-PBE
data_Dy2Y2Ga4Pt
_symmetry_space_group_name_H-M 'P 1'
_symmetry_Int_Tables_number 1
_cell_length_a 6.592
_cell_length_b 6.592
_cell_length_c 6.592
_cell_angle_alpha 97.98
_cell_angle_beta 115.50
_cell_angle_gamma 115.50
loop_
_symmetry_equiv_pos_as_xyz
'x,y,z'
loop_
_atom_site_label
_atom_site_fract_x
_atom_site_fract_y
_atom_site_fract_z
Pt1 0.000 0.000 0.000
Dy1 0.500 0.250 0.750
Dy2 0.500 0.750 0.250
Ga1 0.500 0.750 0.750
Ga2 0.000 0.250 0.750
Ga3 0.000 0.750 0.250
Y1 0.000 0.689 0.689
Ga4 0.500 0.250 0.250
Y2 0.000 0.311 0.311
# uncorrected energy	-4.95	eV per atom
# calculated density	7.58	g/cm³
# DOS at the Fermi energy	6.32	states/eV/f.u.
# crystal system	tetragonal
# total magnetization	0.00	μB per formula unit



Entry 5:
# Li4In4Sn3, relaxed, DFT GGA-PBE
data_Li4In4Sn3
_symmetry_space_group_name_H-M 'P 1'
_symmetry_Int_Tables_number 1
_cell_length_a 4.469
_cell_length_b 6.684
_cell_length_c 9.105
_cell_angle_alpha 90.00
_cell_angle_beta 90.00
_cell_angle_gamma 109.53
loop_
_symmetry_equiv_pos_as_xyz
'x,y,z'
loop_
_atom_site_label
_atom_site_fract_x
_atom_site_fract_y
_atom_site_fract_z
Sn1 0.411 0.821 0.729
Sn2 0.250 0.500 0.000
Li1 0.920 0.839 0.000
Li2 0.754 0.508 0.219
In1 0.090 0.180 0.725
Sn3 0.411 0.821 0.271
Li3 0.905 0.809 0.500
In2 0.090 0.180 0.275
In3 0.645 0.290 0.500
Li4 0.754 0.508 0.781
In4 0.569 0.139 0.000
# uncorrected energy	-2.94	eV per atom
# calculated density	5.46	g/cm³
# DOS at the Fermi energy	4.17	states/eV/f.u.
# crystal system	orthorhombic
# total magnetization	0.00	μB per formula unit



Entry 6:
# RbFe3C, relaxed, DFT GGA-PBE
data_RbFe3C
_symmetry_space_group_name_H-M 'P 1'
_symmetry_Int_Tables_number 1
_cell_length_a 4.085
_cell_length_b 4.085
_cell_length_c 4.085
_cell_angle_alpha 90.00
_cell_angle_beta 90.00
_cell_angle_gamma 90.00
loop_
_symmetry_equiv_pos_as_xyz
'x,y,z'
loop_
_atom_site_label
_atom_site_fract_x
_atom_site_fract_y
_atom_site_fract_z
Fe1 0.000 0.500 0.000
Rb1 0.500 0.500 0.500
Fe2 0.000 0.000 0.500
Fe3 0.500 0.000 0.000
C1 0.000 0.000 0.000
# uncorrected energy	-5.99	eV per atom
# calculated density	6.45	g/cm³
# DOS at the Fermi energy	7.63	states/eV/f.u.
# crystal system	cubic
# total magnetization	5.49	μB per formula unit



Entry 7:
# CsCoICl6, relaxed, DFT GGA-PBE
data_CsCoICl6
_symmetry_space_group_name_H-M 'P 1'
_symmetry_Int_Tables_number 1
_cell_length_a 7.185
_cell_length_b 7.386
_cell_length_c 6.941
_cell_angle_alpha 104.57
_cell_angle_beta 107.37
_cell_angle_gamma 71.80
loop_
_symmetry_equiv_pos_as_xyz
'x,y,z'
loop_
_atom_site_label
_atom_site_fract_x
_atom_site_fract_y
_atom_site_fract_z
Cl1 0.784 0.544 0.748
Co1 0.668 0.684 0.476
Cl2 0.847 0.438 0.296
Cl3 0.914 0.833 0.577
Cl4 0.473 0.952 0.668
Cl5 0.394 0.547 0.375
Cs1 0.955 0.919 0.119
I1 0.443 0.258 0.538
Cl6 0.521 0.826 0.203
# uncorrected energy	-2.98	eV per atom
# calculated density	2.68	g/cm³
# DOS at the Fermi energy	8.84	states/eV/f.u.
# crystal system	triclinic
# E_form (uncorrected)	-0.696	eV/atom
# total magnetization	1.09	μB per formula unit



Entry 8:
# CaScAg, relaxed, DFT GGA-PBE
data_CaScAg
_symmetry_space_group_name_H-M 'P 1'
_symmetry_Int_Tables_number 1
_cell_length_a 4.886
_cell_length_b 4.886
_cell_length_c 3.905
_cell_angle_alpha 90.00
_cell_angle_beta 90.00
_cell_angle_gamma 120.00
loop_
_symmetry_equiv_pos_as_xyz
'x,y,z'
loop_
_atom_site_label
_atom_site_fract_x
_atom_site_fract_y
_atom_site_fract_z
Ca1 0.667 0.333 0.333
Sc1 0.333 0.667 0.833
Ag1 0.000 0.000 0.833
# uncorrected energy	-3.68	eV per atom
# calculated density	3.97	g/cm³
# DOS at the Fermi energy	3.13	states/eV/f.u.
# crystal system	hexagonal
# total magnetization	0.00	μB per formula unit



Entry 9:
# Cu2AgPb, relaxed, DFT GGA-PBE
data_Cu2AgPb
_symmetry_space_group_name_H-M 'P 1'
_symmetry_Int_Tables_number 1
_cell_length_a 8.799
_cell_length_b 8.799
_cell_length_c 8.799
_cell_angle_alpha 20.77
_cell_angle_beta 20.77
_cell_angle_gamma 20.77
loop_
_symmetry_equiv_pos_as_xyz
'x,y,z'
loop_
_atom_site_label
_atom_site_fract_x
_atom_site_fract_y
_atom_site_fract_z
Ag1 0.737 0.737 0.737
Cu1 0.263 0.263 0.263
Pb1 0.507 0.507 0.507
Cu2 0.994 0.994 0.994
# uncorrected energy	-3.39	eV per atom
# calculated density	9.79	g/cm³
# DOS at the Fermi energy	0.76	states/eV/f.u.
# crystal system	trigonal
# total magnetization	0.00	μB per formula unit



Entry 10:
# Ce2PuPb2, relaxed, DFT GGA-PBE
data_Ce2PuPb2
_symmetry_space_group_name_H-M 'P 1'
_symmetry_Int_Tables_number 1
_cell_length_a 3.917
_cell_length_b 6.166
_cell_length_c 12.694
_cell_angle_alpha 92.78
_cell_angle_beta 81.12
_cell_angle_gamma 71.48
loop_
_symmetry_equiv_pos_as_xyz
'x,y,z'
loop_
_atom_site_label
_atom_site_fract_x
_atom_site_fract_y
_atom_site_fract_z
Ce1 0.715 0.706 0.865
Pb1 0.947 0.186 0.919
Pb2 0.330 0.694 0.645
Ce2 0.099 0.231 0.571
Pb3 0.670 0.306 0.355
Ce3 0.901 0.769 0.429
Ce4 0.285 0.294 0.135
Pu1 0.565 0.156 0.714
Pu2 0.435 0.844 0.286
Pb4 0.053 0.814 0.081
# uncorrected energy	-6.98	eV per atom
# calculated density	10.91	g/cm³
# DOS at the Fermi energy	11.13	states/eV/f.u.
# crystal system	monoclinic
# total magnetization	7.06	μB per formula unit



Entry 11:
# Sr4CdMo, relaxed, DFT GGA-PBE
data_Sr4CdMo
_symmetry_space_group_name_H-M 'P 1'
_symmetry_Int_Tables_number 1
_cell_length_a 7.053
_cell_length_b 7.053
_cell_length_c 7.053
_cell_angle_alpha 60.00
_cell_angle_beta 60.00
_cell_angle_gamma 60.00
loop_
_symmetry_equiv_pos_as_xyz
'x,y,z'
loop_
_atom_site_label
_atom_site_fract_x
_atom_site_fract_y
_atom_site_fract_z
Sr1 0.375 0.375 0.876
Sr2 0.876 0.375 0.375
Sr3 0.375 0.375 0.375
Sr4 0.375 0.876 0.375
Mo1 0.000 0.000 0.000
Cd1 0.750 0.750 0.750
# uncorrected energy	-2.08	eV per atom
# calculated density	3.74	g/cm³
# DOS at the Fermi energy	5.97	states/eV/f.u.
# crystal system	cubic
# total magnetization	4.11	μB per formula unit



Entry 12:
# Sr4LiCa, relaxed, DFT GGA-PBE
data_Sr4LiCa
_symmetry_space_group_name_H-M 'P 1'
_symmetry_Int_Tables_number 1
_cell_length_a 4.270
_cell_length_b 4.270
_cell_length_c 15.451
_cell_angle_alpha 90.00
_cell_angle_beta 90.00
_cell_angle_gamma 90.00
loop_
_symmetry_equiv_pos_as_xyz
'x,y,z'
loop_
_atom_site_label
_atom_site_fract_x
_atom_site_fract_y
_atom_site_fract_z
Sr1 0.500 0.500 0.173
Sr2 0.000 0.000 0.367
Ca1 0.000 0.000 0.000
Sr3 0.000 0.000 0.633
Sr4 0.500 0.500 0.827
Li1 0.500 0.500 0.500
# uncorrected energy	-1.76	eV per atom
# calculated density	2.34	g/cm³
# DOS at the Fermi energy	5.22	states/eV/f.u.
# crystal system	tetragonal
# total magnetization	0.00	μB per formula unit